A plane-wave DFT calculation with PBE-GGA was carried out for crystalline Tl2AgAs at its relaxed geometry.

The calculation puts the total energy at -23.236 eV per cell. Its volume is 31.06 Å³ per atom. The value obtained for the energy above the most stable polymorph in this dataset is 141 meV per atom. Its calculated formation energy is 0.154 eV per atom.

Unit cell a=9.923 b=9.923 c=7.457 alpha=48.29 beta=48.29 gamma=90.00
Fractional coordinates of all 8 atoms:
1 Tl 0.531 0.125 0.250
2 Tl 0.219 0.625 0.250
3 Tl 0.375 0.469 0.750
4 Tl 0.875 0.781 0.750
5 As 0.500 0.500 0.000
6 As 0.250 0.750 0.500
7 Ag 0.000 0.000 0.000
8 Ag 0.750 0.250 0.500

***

A plane-wave DFT calculation with PBE-GGA was carried out for crystalline BaYCo3 at its relaxed geometry.

The calculation puts the total energy at -21.815 eV per cell. Its volume is 21.95 Å³ per atom. Its calculated formation energy is 1.578 eV per atom.

Unit cell a=4.788 b=4.788 c=4.788 alpha=90.00 beta=90.00 gamma=90.00
Fractional coordinates of all 5 atoms:
1 Y 0.500 0.500 0.500
2 Co 0.000 0.500 0.000
3 Co 0.000 0.000 0.500
4 Co 0.500 0.000 0.000
5 Ba 0.000 0.000 0.000

***

A plane-wave DFT calculation with PBE-GGA was carried out for crystalline AcMoN3 at its relaxed geometry.

The calculation puts the total energy at -83.865 eV per cell. Its volume is 15.38 Å³ per atom. The calculation puts the formation energy without anion corrections at -0.403 eV per atom.

Unit cell a=3.126 b=7.838 c=6.842 alpha=90.00 beta=90.00 gamma=113.46
Fractional coordinates of all 10 atoms:
1 Ac 0.440 0.692 0.750
2 Ac 0.560 0.308 0.250
3 Mo 0.477 0.230 0.750
4 Mo 0.523 0.770 0.250
5 N 0.056 0.306 0.942
6 N 0.944 0.694 0.058
7 N 0.056 0.306 0.558
8 N 0.944 0.694 0.442
9 N 0.236 0.988 0.750
10 N 0.764 0.012 0.250

***

A plane-wave DFT calculation with PBE-GGA was carried out for crystalline TaGaSe2N at its relaxed geometry.

The calculation puts the total energy at -30.881 eV per cell. Its volume is 21.33 Å³ per atom. The value obtained for the energy above the most stable polymorph in this dataset is 0 meV per atom. The calculation puts the formation energy without anion corrections at -0.141 eV per atom.

Unit cell a=5.210 b=5.210 c=3.928 alpha=90.00 beta=90.00 gamma=90.00
Fractional coordinates of all 5 atoms:
1 N 0.000 0.000 0.500
2 Ga 0.500 0.500 0.500
3 Se 0.000 0.500 0.000
4 Se 0.500 0.000 0.000
5 Ta 0.000 0.000 0.000

***

A plane-wave DFT calculation with PBE-GGA was carried out for crystalline LaY2Ho2Er at its relaxed geometry.

The calculation puts the total energy at -59.928 eV per cell. Its volume is 33.21 Å³ per atom. Its calculated formation energy is 0.268 eV per atom.

Unit cell a=3.408 b=6.509 c=17.964 alpha=90.00 beta=90.00 gamma=90.00
Fractional coordinates of all 12 atoms:
1 La 0.000 0.000 0.000
2 La 0.500 0.500 0.500
3 Y 0.500 0.715 0.311
4 Y 0.500 0.285 0.689
5 Y 0.000 0.785 0.811
6 Y 0.000 0.215 0.189
7 Ho 0.500 0.212 0.354
8 Ho 0.000 0.712 0.146
9 Ho 0.500 0.788 0.646
10 Ho 0.000 0.288 0.854
11 Er 0.500 0.500 0.000
12 Er 0.000 0.000 0.500

***

A plane-wave DFT calculation with PBE-GGA was carried out for crystalline Dy2YAg3Se6 at its relaxed geometry.

The calculation puts the total energy at -59.145 eV per cell. Its volume is 24.44 Å³ per atom. The calculation puts the formation energy without anion corrections at -1.168 eV per atom.

Unit cell a=4.176 b=8.068 c=9.092 alpha=100.06 beta=103.28 gamma=90.00
Fractional coordinates of all 12 atoms:
1 Dy 0.833 0.669 0.666
2 Dy 0.167 0.331 0.334
3 Y 0.500 0.000 0.000
4 Ag 0.500 0.500 0.000
5 Ag 0.832 0.171 0.665
6 Ag 0.168 0.829 0.335
7 Se 0.334 0.916 0.669
8 Se 0.668 0.579 0.335
9 Se 0.666 0.084 0.331
10 Se 0.001 0.248 0.003
11 Se 0.999 0.752 0.997
12 Se 0.332 0.421 0.665

***

A plane-wave DFT calculation with PBE-GGA was carried out for crystalline Y3Ir2 at its relaxed geometry.

The calculation puts the total energy at -39.664 eV per cell. Its volume is 27.17 Å³ per atom. The value obtained for the energy above the most stable polymorph in this dataset is 246 meV per atom. Its calculated formation energy is -0.510 eV per atom.

Unit cell a=9.787 b=9.787 c=9.787 alpha=23.96 beta=23.96 gamma=23.96
Fractional coordinates of all 5 atoms:
1 Y 0.000 0.000 0.000
2 Y 0.774 0.774 0.774
3 Y 0.226 0.226 0.226
4 Ir 0.608 0.608 0.608
5 Ir 0.392 0.392 0.392

***

A plane-wave DFT calculation with PBE-GGA was carried out for crystalline ScMnSi2 at its relaxed geometry.

The calculation puts the total energy at -27.778 eV per cell. Its volume is 15.17 Å³ per atom. The calculation puts the formation energy without anion corrections at -0.358 eV per atom.

Unit cell a=4.114 b=2.943 c=5.011 alpha=89.99 beta=90.00 gamma=90.00
Each line ends with the local moment (μB).
Fractional coordinates of all 4 atoms:
1 Mn 0.500 0.250 0.250  1.71
2 Sc 0.500 0.750 0.750  -0.16
3 Si 0.000 0.250 0.004  -0.02
4 Si 0.000 0.250 0.496  -0.02